1.
A plane-wave DFT calculation with PBEsol was carried out for a relaxed NiMo2Pt crystal.

For the final energy, the calculation gives -37.20 eV per formula unit. As for the total magnetization: 0.0 μB per cell. For the density of states at the Fermi level, the calculation gives 6.6 states/eV/cell.

The space group is Cmmm (No. 65) and the conventional cell measures 5.246, 7.986 and 2.657 Å, with angles of 90.00, 90.00 and 90.00 degrees. Symmetry generates all atoms from Ni at (0.000, 0.000, 0.000), Mo at (0.250, 0.250, 0.500) and Pt at (0.000, 0.500, 0.000).


2.
A plane-wave DFT calculation with PBEsol was carried out for a relaxed ReNi2Mo crystal.

For the final energy, the calculation gives -37.34 eV per formula unit. As for the total magnetization: 0.0 μB per cell. For the density of states at the Fermi level, the calculation gives 10.1 states/eV/cell.

The space group is I4/mmm (No. 139) and the conventional cell measures 3.651, 3.651 and 7.569 Å, with angles of 90.00, 90.00 and 90.00 degrees. Symmetry generates all atoms from Re at (0.000, 0.000, 0.000), Ni at (0.000, 0.500, 0.250) and Mo at (0.000, 0.000, 0.500).


3.
A plane-wave DFT calculation with PBEsol was carried out for a relaxed ReNi2Mo crystal.

For the final energy, the calculation gives -37.71 eV per formula unit. As for the total magnetization: 0.0 μB per cell. For the density of states at the Fermi level, the calculation gives 1.9 states/eV/cell.

The space group is Pm (No. 6) and the conventional cell measures 2.541, 4.063 and 4.976 Å, with angles of 90.00, 102.91 and 90.00 degrees. Symmetry generates all atoms from Re at (0.000, 0.000, 0.000), Ni at (0.296, 0.000, 0.538), Ni at (0.407, 0.500, 0.794) and Mo at (0.701, 0.500, 0.322).